Density functional theory data (PBE with a Hubbard U) for a relaxed FeSNO2 crystal.

## Properties
Symmetry = P4/mmm
Electronic total energy = -5.16 eV per atom

Cell: 3.743 3.743 3.526 Å, 90.00 90.00 90.00°
Last column: magnetic moment on the atom in μB.
Fractional coordinates of all 5 atoms:
S (0.000, 0.000, 0.000)  0.01
Fe (0.500, 0.500, 0.500)  3.77
O (0.000, 0.500, 0.000)  0.02
O (0.500, 0.000, 0.000)  0.02
N (0.000, 0.000, 0.500)  0.02